# Ba2MoIr | Alexandria | PBE | relaxed
# - DFT formation energy (eV/f.u.) = 4.1
# - uncorrected energy (eV per atom) = -4.854
# - E above lowest polymorph (meV per atom) = 692
data_Ba2MoIr
_chemical_formula_sum 'Ba8 Mo4 Ir4'
_symmetry_space_group_name_H-M 'F -4 3 m'
_symmetry_Int_Tables_number 216
_symmetry_space_group_name_Hall 'F -4 2 3'
_cell_length_a 7.5976
_cell_length_b 7.5976
_cell_length_c 7.5976
_cell_angle_alpha 90.00
_cell_angle_beta 90.00
_cell_angle_gamma 90.00
loop_
_atom_site_label
_atom_site_fract_x
_atom_site_fract_y
_atom_site_fract_z
Ba1 0.0000 0.0000 0.0000
Ba2 0.2500 0.2500 0.2500
Mo1 0.2500 0.2500 0.7500
Ir1 0.0000 0.0000 0.5000

# PdCNF2 | Alexandria | PBE | relaxed
# - raw formation energy (eV/atom) = 0.095
# - uncorrected energy (eV per atom) = -5.202
# - E above lowest polymorph (meV per atom) = 0
data_PdCNF2
_chemical_formula_sum 'Pd1 C1 N1 F2'
_symmetry_space_group_name_H-M 'P 4/m m m'
_symmetry_Int_Tables_number 123
_symmetry_space_group_name_Hall '-P 4 2'
_cell_length_a 4.6216
_cell_length_b 4.6216
_cell_length_c 2.4816
_cell_angle_alpha 90.00
_cell_angle_beta 90.00
_cell_angle_gamma 90.00
loop_
_atom_site_label
_atom_site_fract_x
_atom_site_fract_y
_atom_site_fract_z
Pd1 0.0000 0.0000 0.0000
C1 0.5000 0.5000 0.5000
N1 0.5000 0.5000 0.0000
F1 0.0000 0.5000 0.5000